No. 1
Zr4InPC2 | the Open Quantum Materials Database | GGA-PBE | optimized geometry; raw total energy = -67.756 eV for the cell shown; space-group type = P-6m2
1.0
3.416 0.000 0.000
-1.708 2.958 0.000
0.000 0.000 13.665
Zr In P C
4 1 1 2
direct
0.000 0.000 0.132 Zr
0.000 0.000 0.868 Zr
0.667 0.333 0.317 Zr
0.667 0.333 0.683 Zr
0.000 0.000 0.500 In
0.667 0.333 0.000 P
0.333 0.667 0.229 C
0.333 0.667 0.771 C

No. 2
LuPuTh | the Open Quantum Materials Database | GGA-PBE | optimized geometry; formation energy = 0.844 eV per atom; space-group type = F-43m
1.0
0.000 3.728 3.728
3.728 0.000 3.728
3.728 3.728 0.000
Lu Pu Th
1 1 1
direct
0.000 0.000 0.000 Lu
0.750 0.750 0.750 Pu
0.250 0.250 0.250 Th

No. 3
Ho2Ge | the Open Quantum Materials Database | GGA-PBE | optimized geometry; raw total energy = -25.738 eV for the cell shown; space-group type = Fd-3m
1.0
0.000 4.298 4.298
4.298 0.000 4.298
4.298 4.298 0.000
Ho Ge
4 2
direct
0.000 0.000 0.000 Ho
0.000 0.000 0.500 Ho
0.000 0.500 0.000 Ho
0.500 0.000 0.000 Ho
0.375 0.375 0.375 Ge
0.625 0.625 0.625 Ge

No. 4
AcSmU | the Open Quantum Materials Database | GGA-PBE | optimized geometry; formation energy = 1.258 eV per atom; energy above the lowest structure with this stoichiometry = 0 meV per atom; space-group type = F-43m
1.0
0.000 3.862 3.862
3.862 0.000 3.862
3.862 3.862 0.000
Ac Sm U
1 1 1
direct
0.000 0.000 0.000 Ac
0.500 0.500 0.500 Sm
0.250 0.250 0.250 U